Entry from Alexandria: a geometry-optimized Sr2DyAg structure (PBE).

Summary:
ΔH_f (0 K)   0.020 eV per atom
Electronic total energy   -2.684 eV per atom

a b c (Å): 3.837 3.837 9.755
angles (deg): 90.00 90.00 90.00
Positions (direct):
Sr 0.000 0.000 0.793
Sr 0.000 0.000 0.207
Ag 0.500 0.500 0.000
Dy 0.500 0.500 0.500

Entry from Alexandria: a geometry-optimized CaCr2Re structure (PBE).

Summary:
ΔH_f (0 K)   0.484 eV per atom
Electronic total energy   -7.940 eV per atom

a b c (Å): 3.087 3.087 7.643
angles (deg): 90.00 90.00 90.00
Positions (direct):
Re 0.500 0.500 0.250
Ca 0.500 0.500 0.750
Cr 0.000 0.000 0.068
Cr 0.000 0.000 0.432

Entry from Alexandria: a geometry-optimized Ti5Ni2Sn structure (PBE).

Summary:
ΔH_f (0 K)   -0.193 eV per atom
Electronic total energy   -7.073 eV per atom

a b c (Å): 3.078 7.696 7.696
angles (deg): 48.35 78.46 78.46
Positions (direct):
Ti 0.000 0.500 0.500
Ti 0.640 0.610 0.110
Ti 0.360 0.390 0.890
Ti 0.360 0.890 0.390
Ti 0.640 0.110 0.610
Ni 0.782 0.718 0.718
Ni 0.218 0.282 0.282
Sn 0.000 0.000 0.000

Entry from Alexandria: a geometry-optimized NbNi2OsN structure (PBE).

Summary:
Electronic total energy   -6.667 eV per atom

a b c (Å): 4.567 3.844 4.567
angles (deg): 90.00 90.00 90.00
Positions (direct):
Ni 0.000 0.000 0.500
Ni 0.500 0.000 0.000
Nb 0.000 0.000 0.000
Os 0.500 0.500 0.500
N 0.000 0.500 0.000

Entry from Alexandria: a geometry-optimized HfTiF2 structure (PBE).

Summary:
Electronic total energy   -6.888 eV per atom

a b c (Å): 4.039 4.039 7.704
angles (deg): 74.80 74.80 90.00
Positions (direct):
F 0.645 0.125 0.250
F 0.105 0.625 0.250
F 0.375 0.355 0.750
F 0.875 0.895 0.750
Hf 0.000 0.000 0.000
Hf 0.750 0.250 0.500
Ti 0.500 0.500 0.000
Ti 0.250 0.750 0.500

Entry from Alexandria: a geometry-optimized LiBeSn2Se structure (PBE).

Summary:
Electronic total energy   -3.070 eV per atom

a b c (Å): 5.885 3.935 5.885
angles (deg): 90.00 90.00 90.00
Positions (direct):
Be 0.000 0.500 0.000
Sn 0.000 0.000 0.500
Sn 0.500 0.000 0.000
Se 0.000 0.000 0.000
Li 0.500 0.500 0.500

Entry from Alexandria: a geometry-optimized MnFe3Tc2 structure (PBE).

Summary:
ΔH_f (0 K)   0.085 eV per atom
Electronic total energy   -9.130 eV per atom

a b c (Å): 4.450 6.327 6.526
angles (deg): 118.99 70.03 89.99
Positions (direct):
Mn 0.750 0.352 0.000
Mn 0.250 0.648 0.000
Fe 0.500 0.000 0.000
Fe 0.000 0.000 0.000
Fe 0.548 0.292 0.403
Fe 0.452 0.708 0.597
Fe 0.952 0.888 0.597
Fe 0.048 0.112 0.403
Tc 0.881 0.564 0.739
Tc 0.619 0.825 0.261
Tc 0.119 0.436 0.261
Tc 0.381 0.175 0.739

Entry from Alexandria: a geometry-optimized Sm4Er4Sc structure (PBE).

Summary:
ΔH_f (0 K)   0.676 eV per atom
Electronic total energy   -4.153 eV per atom

a b c (Å): 5.273 5.273 12.228
angles (deg): 102.45 102.45 90.00
Positions (direct):
Sm 0.627 0.627 0.748
Sm 0.373 0.879 0.252
Sm 0.121 0.121 0.748
Sm 0.879 0.373 0.252
Er 0.500 0.000 0.000
Er 0.000 0.500 0.000
Er 0.252 0.252 0.503
Er 0.748 0.748 0.497
Sc 0.000 0.000 0.000